Material: HfMnMoO6
Method: DFT, PBE+U
State: optimized geometry

The calculation puts the total energy at -148.26 eV for the cell shown. The value obtained for the total magnetic moment is 5.0 μB/f.u.

It has space group P-31c (No. 163), with a = 5.2903 Å, b = 5.2903 Å, c = 9.2786 Å, α = 90.00°, β = 90.00° and γ = 120.00°. The distinct sites, in fractional coordinates, are Hf at (0.3333, 0.6667, 0.2500), Mn at (0.0000, 0.0000, 0.0000), Mo at (0.3333, 0.6667, 0.7500) and O at (0.0187, 0.3637, 0.6348).